# 1
Computed, not measured: an optimized crystal structure of K3GeF at the PBE level of DFT.

Geometry as CIF:
```
data_K3GeF
_symmetry_space_group_name_H-M 'P 1'
_symmetry_Int_Tables_number 1
_cell_length_a 5.367
_cell_length_b 5.367
_cell_length_c 5.367
_cell_angle_alpha 90.00
_cell_angle_beta 90.00
_cell_angle_gamma 90.00
loop_
_symmetry_equiv_pos_as_xyz
'x,y,z'
loop_
_atom_site_label
_atom_site_type_symbol
_atom_site_fract_x
_atom_site_fract_y
_atom_site_fract_z
F1 F 0.000 0.000 0.000
K1 K 0.000 0.500 0.000
Ge1 Ge 0.500 0.500 0.500
K2 K 0.500 0.000 0.000
K3 K 0.000 0.000 0.500
```

Calculated values
As for the space group: Pm-3m, No. 221. For the energy above the most stable polymorph in this dataset, the calculation gives 0 meV/atom.

=====

# 2
Computed, not measured: an optimized crystal structure of K4Ge2F at the PBE level of DFT.

Geometry as CIF:
```
data_K4Ge2F
_symmetry_space_group_name_H-M 'P 1'
_symmetry_Int_Tables_number 1
_cell_length_a 6.345
_cell_length_b 6.345
_cell_length_c 8.352
_cell_angle_alpha 67.67
_cell_angle_beta 67.67
_cell_angle_gamma 90.00
loop_
_symmetry_equiv_pos_as_xyz
'x,y,z'
loop_
_atom_site_label
_atom_site_type_symbol
_atom_site_fract_x
_atom_site_fract_y
_atom_site_fract_z
K1 K 0.822 0.822 0.357
F1 F 0.000 0.000 0.000
Ge1 Ge 0.417 0.417 0.165
K2 K 0.178 0.178 0.643
K3 K 0.500 0.000 0.000
K4 K 0.000 0.500 0.000
Ge2 Ge 0.583 0.583 0.835
```

Calculated values
As for the space group: I4/mmm, No. 139.

=====

# 3
Computed, not measured: an optimized crystal structure of KGeF4 at the PBE level of DFT.

Geometry as CIF:
```
data_KGeF4
_symmetry_space_group_name_H-M 'P 1'
_symmetry_Int_Tables_number 1
_cell_length_a 6.509
_cell_length_b 4.098
_cell_length_c 8.064
_cell_angle_alpha 90.00
_cell_angle_beta 90.00
_cell_angle_gamma 90.00
loop_
_symmetry_equiv_pos_as_xyz
'x,y,z'
loop_
_atom_site_label
_atom_site_type_symbol
_atom_site_fract_x
_atom_site_fract_y
_atom_site_fract_z
F1 F 0.489 0.750 0.000
F2 F 0.283 0.750 0.500
K1 K 0.021 0.750 0.000
F3 F 0.297 0.250 0.824
F4 F 0.297 0.250 0.176
F5 F 0.783 0.250 0.000
Ge1 Ge 0.485 0.250 0.000
F6 F 0.989 0.250 0.500
Ge2 Ge 0.985 0.750 0.500
F7 F 0.797 0.750 0.324
K2 K 0.521 0.250 0.500
F8 F 0.797 0.750 0.676
```

Calculated values
As for the space group: Imm2, No. 44.

=====

# 4
Computed, not measured: an optimized crystal structure of KGeF6 at the PBE level of DFT.

Geometry as CIF:
```
data_KGeF6
_symmetry_space_group_name_H-M 'P 1'
_symmetry_Int_Tables_number 1
_cell_length_a 4.923
_cell_length_b 5.927
_cell_length_c 5.927
_cell_angle_alpha 83.52
_cell_angle_beta 59.87
_cell_angle_gamma 59.87
loop_
_symmetry_equiv_pos_as_xyz
'x,y,z'
loop_
_atom_site_label
_atom_site_type_symbol
_atom_site_fract_x
_atom_site_fract_y
_atom_site_fract_z
F1 F 0.335 0.758 0.087
F2 F 0.665 0.242 0.913
Ge1 Ge 0.000 0.000 0.000
K1 K 0.000 0.500 0.500
F3 F 0.335 0.087 0.758
F4 F 0.828 0.258 0.258
F5 F 0.172 0.742 0.742
F6 F 0.665 0.913 0.242
```

Calculated values
As for the space group: C2/m, No. 12. For the energy above the most stable polymorph in this dataset, the calculation gives 13 meV/atom.

=====

# 5
Computed, not measured: an optimized crystal structure of KGeF6 at the PBE level of DFT.

Geometry as CIF:
```
data_KGeF6
_symmetry_space_group_name_H-M 'P 1'
_symmetry_Int_Tables_number 1
_cell_length_a 4.993
_cell_length_b 4.993
_cell_length_c 4.993
_cell_angle_alpha 97.15
_cell_angle_beta 97.15
_cell_angle_gamma 97.15
loop_
_symmetry_equiv_pos_as_xyz
'x,y,z'
loop_
_atom_site_label
_atom_site_type_symbol
_atom_site_fract_x
_atom_site_fract_y
_atom_site_fract_z
F1 F 0.243 0.583 0.243
F2 F 0.583 0.243 0.243
F3 F 0.417 0.757 0.757
Ge1 Ge 0.500 0.500 0.500
F4 F 0.757 0.417 0.757
F5 F 0.757 0.757 0.417
K1 K 0.000 0.000 0.000
F6 F 0.243 0.243 0.583
```

Calculated values
As for the space group: R-3m, No. 166. For the energy above the most stable polymorph in this dataset, the calculation gives 0 meV/atom.

=====

# 6
Computed, not measured: an optimized crystal structure of K2GeF4 at the PBE level of DFT.

Geometry as CIF:
```
data_K2GeF4
_symmetry_space_group_name_H-M 'P 1'
_symmetry_Int_Tables_number 1
_cell_length_a 5.649
_cell_length_b 6.868
_cell_length_c 9.089
_cell_angle_alpha 57.37
_cell_angle_beta 90.00
_cell_angle_gamma 90.00
loop_
_symmetry_equiv_pos_as_xyz
'x,y,z'
loop_
_atom_site_label
_atom_site_type_symbol
_atom_site_fract_x
_atom_site_fract_y
_atom_site_fract_z
F1 F 0.750 0.373 0.890
Ge1 Ge 0.750 0.036 0.095
F2 F 0.515 0.121 0.196
F3 F 0.485 0.879 0.804
Ge2 Ge 0.250 0.964 0.905
K1 K 0.250 0.726 0.368
F4 F 0.250 0.324 0.662
F5 F 0.750 0.676 0.338
K2 K 0.750 0.274 0.632
F6 F 0.985 0.121 0.196
F7 F 0.015 0.879 0.804
K3 K 0.750 0.535 0.108
F8 F 0.250 0.627 0.110
K4 K 0.250 0.465 0.892
```

Calculated values
As for the space group: P2_1/m, No. 11. For the energy above the most stable polymorph in this dataset, the calculation gives 0 meV/atom.

=====

# 7
Computed, not measured: an optimized crystal structure of K2GeF4 at the PBE level of DFT.

Geometry as CIF:
```
data_K2GeF4
_symmetry_space_group_name_H-M 'P 1'
_symmetry_Int_Tables_number 1
_cell_length_a 4.445
_cell_length_b 4.445
_cell_length_c 7.438
_cell_angle_alpha 72.61
_cell_angle_beta 72.61
_cell_angle_gamma 90.00
loop_
_symmetry_equiv_pos_as_xyz
'x,y,z'
loop_
_atom_site_label
_atom_site_type_symbol
_atom_site_fract_x
_atom_site_fract_y
_atom_site_fract_z
F1 F 0.835 0.835 0.329
K1 K 0.645 0.645 0.710
Ge1 Ge 0.000 0.000 0.000
F2 F 0.500 0.000 0.000
K2 K 0.355 0.355 0.290
F3 F 0.000 0.500 0.000
F4 F 0.165 0.165 0.671
```

Calculated values
As for the space group: I4/mmm, No. 139. For the energy above the most stable polymorph in this dataset, the calculation gives 60 meV/atom.

=====

# 8
Computed, not measured: an optimized crystal structure of K2GeF5 at the PBE level of DFT.

Geometry as CIF:
```
data_K2GeF5
_symmetry_space_group_name_H-M 'P 1'
_symmetry_Int_Tables_number 1
_cell_length_a 6.195
_cell_length_b 6.195
_cell_length_c 5.818
_cell_angle_alpha 122.18
_cell_angle_beta 122.18
_cell_angle_gamma 89.99
loop_
_symmetry_equiv_pos_as_xyz
'x,y,z'
loop_
_atom_site_label
_atom_site_type_symbol
_atom_site_fract_x
_atom_site_fract_y
_atom_site_fract_z
K1 K 0.248 0.748 0.495
F1 F 0.782 0.782 0.006
Ge1 Ge 0.003 0.003 0.006
F2 F 0.767 0.767 0.534
F3 F 0.224 0.782 0.006
F4 F 0.782 0.224 0.006
F5 F 0.224 0.224 0.006
K2 K 0.748 0.248 0.495
```

Calculated values
As for the space group: I4mm, No. 107.

=====

# 9
Computed, not measured: an optimized crystal structure of KGeF3 at the PBE level of DFT.

Geometry as CIF:
```
data_KGeF3
_symmetry_space_group_name_H-M 'P 1'
_symmetry_Int_Tables_number 1
_cell_length_a 4.445
_cell_length_b 4.445
_cell_length_c 4.445
_cell_angle_alpha 90.00
_cell_angle_beta 90.00
_cell_angle_gamma 90.00
loop_
_symmetry_equiv_pos_as_xyz
'x,y,z'
loop_
_atom_site_label
_atom_site_type_symbol
_atom_site_fract_x
_atom_site_fract_y
_atom_site_fract_z
Ge1 Ge 0.000 0.000 0.000
F1 F 0.000 0.500 0.000
F2 F 0.000 0.000 0.500
K1 K 0.500 0.500 0.500
F3 F 0.500 0.000 0.000
```

Calculated values
As for the space group: Pm-3m, No. 221.

=====

# 10
Computed, not measured: an optimized crystal structure of K2GeF7 at the PBE level of DFT.

Geometry as CIF:
```
data_K2GeF7
_symmetry_space_group_name_H-M 'P 1'
_symmetry_Int_Tables_number 1
_cell_length_a 7.443
_cell_length_b 7.443
_cell_length_c 10.212
_cell_angle_alpha 51.58
_cell_angle_beta 51.58
_cell_angle_gamma 51.11
loop_
_symmetry_equiv_pos_as_xyz
'x,y,z'
loop_
_atom_site_label
_atom_site_type_symbol
_atom_site_fract_x
_atom_site_fract_y
_atom_site_fract_z
F1 F 0.882 0.808 0.294
K1 K 0.765 0.580 0.234
Ge1 Ge 0.965 0.035 0.750
F2 F 0.054 0.744 0.488
K2 K 0.420 0.235 0.266
F3 F 0.118 0.192 0.706
F4 F 0.744 0.054 0.988
F5 F 0.256 0.946 0.012
F6 F 0.946 0.256 0.512
F7 F 0.652 0.348 0.750
F8 F 0.808 0.882 0.794
F9 F 0.126 0.728 0.910
K3 K 0.580 0.765 0.734
F10 F 0.272 0.874 0.590
F11 F 0.728 0.126 0.410
F12 F 0.874 0.272 0.090
F13 F 0.348 0.652 0.250
F14 F 0.192 0.118 0.206
K4 K 0.235 0.420 0.766
Ge2 Ge 0.035 0.965 0.250
```

Calculated values
As for the space group: C2/c, No. 15.

=====

# 11
Computed, not measured: an optimized crystal structure of KLi2GeF8 at the PBE level of DFT.

Geometry as CIF:
```
data_KLi2GeF8
_symmetry_space_group_name_H-M 'P 1'
_symmetry_Int_Tables_number 1
_cell_length_a 4.752
_cell_length_b 4.685
_cell_length_c 7.168
_cell_angle_alpha 88.94
_cell_angle_beta 89.24
_cell_angle_gamma 87.08
loop_
_symmetry_equiv_pos_as_xyz
'x,y,z'
loop_
_atom_site_label
_atom_site_type_symbol
_atom_site_fract_x
_atom_site_fract_y
_atom_site_fract_z
F1 F 0.817 0.212 0.816
F2 F 0.183 0.788 0.184
F3 F 0.433 0.309 0.500
F4 F 0.567 0.691 0.500
F5 F 0.281 0.256 0.997
F6 F 0.813 0.207 0.182
Li1 Li 0.506 0.507 0.211
K1 K 0.000 0.000 0.500
Li2 Li 0.494 0.493 0.789
F7 F 0.187 0.793 0.818
F8 F 0.719 0.744 0.003
Ge1 Ge 0.000 0.000 0.000
```

Calculated values
As for the space group: P-1, No. 2.

=====

# 12
Computed, not measured: an optimized crystal structure of K2LiGeF6 at the PBE level of DFT.

Geometry as CIF:
```
data_K2LiGeF6
_symmetry_space_group_name_H-M 'P 1'
_symmetry_Int_Tables_number 1
_cell_length_a 5.837
_cell_length_b 5.836
_cell_length_c 8.252
_cell_angle_alpha 90.00
_cell_angle_beta 90.00
_cell_angle_gamma 90.00
loop_
_symmetry_equiv_pos_as_xyz
'x,y,z'
loop_
_atom_site_label
_atom_site_type_symbol
_atom_site_fract_x
_atom_site_fract_y
_atom_site_fract_z
F1 F 0.255 0.495 0.500
F2 F 0.500 0.250 0.255
Ge1 Ge 0.500 0.250 0.500
Ge2 Ge 0.000 0.750 0.000
F3 F 0.255 0.005 0.500
F4 F 0.245 0.995 0.000
F5 F 0.000 0.750 0.245
F6 F 0.245 0.505 0.000
F7 F 0.000 0.750 0.755
Li1 Li 0.000 0.750 0.500
K1 K 0.500 0.750 0.250
K2 K 0.500 0.750 0.750
F8 F 0.500 0.250 0.745
Li2 Li 0.500 0.250 0.000
F9 F 0.745 0.005 0.500
F10 F 0.745 0.495 0.500
F11 F 0.755 0.505 0.000
K3 K 0.000 0.250 0.750
F12 F 0.755 0.995 0.000
K4 K 0.000 0.250 0.250
```

Calculated values
As for the space group: Fm-3m, No. 225.

=====

# 13
Computed, not measured: an optimized crystal structure of K4Mg3GeF12 at the PBE level of DFT.

Geometry as CIF:
```
data_K4Mg3GeF12
_symmetry_space_group_name_H-M 'P 1'
_symmetry_Int_Tables_number 1
_cell_length_a 7.199
_cell_length_b 7.199
_cell_length_c 7.199
_cell_angle_alpha 109.47
_cell_angle_beta 109.47
_cell_angle_gamma 109.47
loop_
_symmetry_equiv_pos_as_xyz
'x,y,z'
loop_
_atom_site_label
_atom_site_type_symbol
_atom_site_fract_x
_atom_site_fract_y
_atom_site_fract_z
K1 K 0.500 0.000 0.000
Ge1 Ge 0.000 0.000 0.000
F1 F 0.000 0.264 0.264
F2 F 0.264 0.000 0.264
F3 F 0.500 0.750 0.250
K2 K 0.000 0.500 0.000
K3 K 0.000 0.000 0.500
Mg1 Mg 0.000 0.500 0.500
F4 F 0.264 0.264 0.000
Mg2 Mg 0.500 0.500 0.000
F5 F 0.000 0.736 0.736
F6 F 0.250 0.500 0.750
F7 F 0.736 0.000 0.736
F8 F 0.750 0.250 0.500
F9 F 0.500 0.250 0.750
F10 F 0.750 0.500 0.250
F11 F 0.736 0.736 0.000
F12 F 0.250 0.750 0.500
Mg3 Mg 0.500 0.000 0.500
K4 K 0.500 0.500 0.500
```

Calculated values
As for the space group: Im-3m, No. 229.

=====

no.,formation energy without anion corrections (eV per formula unit)
1,-4.70
2,-4.98
3,-14.21
4,-17.92
5,-18.02
6,-17.58
7,-17.16
8,-20.05
9,-11.72
10,-23.45
11,-29.98
12,-26.03
13,-60.90